Record 1
The following is a PBE calculation of an optimized crystal structure of Ce2Th3Bi3, from the Alexandria database.

a b c (Å): 6.360 9.531 9.531
angles (deg): 120.00 90.00 90.00
Element x y z (fractional)
Th (0.750, 0.755, 0.755)
Th (0.250, 0.245, 0.245)
Th (0.250, 0.000, 0.755)
Th (0.250, 0.755, 0.000)
Th (0.750, 0.245, 0.000)
Th (0.750, 0.000, 0.245)
Bi (0.750, 0.392, 0.392)
Bi (0.250, 0.000, 0.392)
Bi (0.250, 0.608, 0.608)
Bi (0.250, 0.392, 0.000)
Bi (0.750, 0.608, 0.000)
Bi (0.750, 0.000, 0.608)
Ce (0.500, 0.333, 0.667)
Ce (0.000, 0.667, 0.333)
Ce (0.500, 0.667, 0.333)
Ce (0.000, 0.333, 0.667)

space-group type = P6_3/mcm (193)
energy relative to the elements = -486.4 meV per atom
crystal system = hexagonal



Record 2
The following is a PBE calculation of an optimized crystal structure of CrMoAs4, from the Alexandria database.

a b c (Å): 5.403 5.403 5.403
angles (deg): 60.00 60.00 60.00
Element x y z (fractional)
As (0.874, 0.375, 0.375)
As (0.375, 0.375, 0.874)
As (0.375, 0.375, 0.375)
As (0.375, 0.874, 0.375)
Mo (0.000, 0.000, 0.000)
Cr (0.750, 0.750, 0.750)

space-group type = F-43m (216)
energy relative to the elements = 836.4 meV per atom
crystal system = cubic



Record 3
The following is a PBE calculation of an optimized crystal structure of LiGaH2, from the Alexandria database.

a b c (Å): 4.054 4.054 6.104
angles (deg): 70.60 70.60 90.00
Element x y z (fractional)
H (0.084, 0.625, 0.250)
H (0.375, 0.334, 0.750)
H (0.666, 0.125, 0.250)
H (0.875, 0.916, 0.750)
Li (0.250, 0.750, 0.500)
Li (0.500, 0.500, 0.000)
Ga (0.000, 0.000, 0.000)
Ga (0.750, 0.250, 0.500)

energy above the most stable polymorph in this dataset = 87 kJ/mol of formula units
space-group type = I-42d (122)
crystal system = tetragonal



Record 4
The following is a PBE calculation of an optimized crystal structure of Pa12CuTc6, from the Alexandria database.

a b c (Å): 7.793 7.793 7.793
angles (deg): 96.95 96.95 96.95
Element x y z (fractional)
Tc (0.354, 0.663, 0.868)
Tc (0.132, 0.646, 0.337)
Tc (0.337, 0.132, 0.646)
Tc (0.663, 0.868, 0.354)
Tc (0.868, 0.354, 0.663)
Tc (0.646, 0.337, 0.132)
Pa (0.346, 0.069, 0.983)
Pa (0.552, 0.188, 0.402)
Pa (0.931, 0.017, 0.654)
Pa (0.654, 0.931, 0.017)
Pa (0.983, 0.346, 0.069)
Pa (0.812, 0.598, 0.448)
Pa (0.188, 0.402, 0.552)
Pa (0.069, 0.983, 0.346)
Pa (0.402, 0.552, 0.188)
Pa (0.598, 0.448, 0.812)
Pa (0.017, 0.654, 0.931)
Pa (0.448, 0.812, 0.598)
Cu (0.000, 0.000, 0.000)

space-group type = R-3 (148)
energy relative to the elements = 157.1 meV per atom
crystal system = trigonal



Listing Fermi-level density of states for the structures above in their given order: 2.0936 0.8943 0.3076 1.5628 states/eV per atom.